# 1
# YBiPb

YBiPb after structural relaxation (PBE-GGA, Alexandria).

The calculation puts the energy of formation at -237 meV per atom. The value obtained for the energy above the most stable polymorph in this dataset is 0 meV per atom.

a b c (Å): 5.5917 5.5917 3.3778
angles (deg): 90.00 90.00 120.00
With the nearest neighbours (Å) after each atom.
Sites, in units of the cell vectors:
Y (0.0000, 0.0000, 0.0000)  2 Y 3.38, 6 Pb 3.62-3.66, 6 Bi 3.63-3.66
Bi (0.3333, 0.6667, 0.4915)  3 Pb 3.23, 2 Bi 3.38
Pb (0.6667, 0.3333, 0.5127)  3 Bi 3.23, 2 Pb 3.38


# 2
# Y2Bi2Pb

Y2Bi2Pb after structural relaxation (PBE-GGA, Alexandria).

The calculation puts the energy of formation at -313 meV per atom. The value obtained for the energy above the most stable polymorph in this dataset is 223 meV per atom.

a b c (Å): 6.4190 6.4190 6.4190
angles (deg): 124.68 124.68 82.08
With the nearest neighbours (Å) after each atom.
Sites, in units of the cell vectors:
Y (0.2500, 0.7500, 0.5000)  4 Bi 3.10
Y (0.7500, 0.2500, 0.5000)  4 Bi 3.10
Bi (0.1617, 0.1617, 0.0000)  4 Y 3.10, 1 Bi 3.13, 1 Pb 3.28
Bi (0.8383, 0.8383, 0.0000)  4 Y 3.10, 1 Bi 3.13, 1 Pb 3.28
Pb (0.5000, 0.5000, 0.0000)  2 Bi 3.28


# 3
# YBiPb2

YBiPb2 after structural relaxation (PBE-GGA, Alexandria).

The calculation puts the energy of formation at -314 meV per atom.

a b c (Å): 4.8417 4.8417 5.0740
angles (deg): 90.00 90.00 90.00
With the nearest neighbours (Å) after each atom.
Sites, in units of the cell vectors:
Y (0.0000, 0.0000, 0.0000)  4 Bi 3.42, 8 Pb 3.51
Bi (0.5000, 0.5000, 0.0000)  4 Y 3.42, 8 Pb 3.51
Pb (0.0000, 0.5000, 0.5000)  4 Pb 3.42, 4 Bi 3.51, 4 Y 3.51
Pb (0.5000, 0.0000, 0.5000)  4 Pb 3.42, 4 Bi 3.51, 4 Y 3.51


# 4
# Y2BiPb

Y2BiPb after structural relaxation (PBE-GGA, Alexandria).

The calculation puts the energy of formation at -488 meV per atom. The value obtained for the energy above the most stable polymorph in this dataset is 215 meV per atom.

a b c (Å): 5.4952 5.4952 5.4952
angles (deg): 60.00 60.00 60.00
With the nearest neighbours (Å) after each atom.
Sites, in units of the cell vectors:
Y (0.2500, 0.2500, 0.2500)  4 Pb 3.37, 4 Bi 3.37
Y (0.7500, 0.7500, 0.7500)  4 Pb 3.37, 4 Bi 3.37
Bi (0.0000, 0.0000, 0.0000)  8 Y 3.37
Pb (0.5000, 0.5000, 0.5000)  8 Y 3.37


# 5
# Y2BiPb

Y2BiPb after structural relaxation (PBE-GGA, Alexandria).

The calculation puts the energy of formation at -545 meV per atom. The value obtained for the energy above the most stable polymorph in this dataset is 158 meV per atom.

a b c (Å): 4.0901 4.0901 6.9368
angles (deg): 90.00 90.00 90.00
With the nearest neighbours (Å) after each atom.
Sites, in units of the cell vectors:
Y (0.0000, 0.0000, 0.2484)  4 Bi 3.37, 4 Pb 3.38, 2 Y 3.45-3.49
Y (0.0000, 0.0000, 0.7516)  4 Bi 3.37, 4 Pb 3.38, 2 Y 3.45-3.49
Bi (0.5000, 0.5000, 0.0000)  8 Y 3.37, 2 Pb 3.47
Pb (0.5000, 0.5000, 0.5000)  8 Y 3.38, 2 Bi 3.47


# 6
# Y2BiPb

Y2BiPb after structural relaxation (PBE-GGA, Alexandria).

The calculation puts the energy of formation at -642 meV per atom. The value obtained for the energy above the most stable polymorph in this dataset is 61 meV per atom.

a b c (Å): 4.3170 4.3170 8.1926
angles (deg): 105.31 105.31 60.04
With the nearest neighbours (Å) after each atom.
Sites, in units of the cell vectors:
Y (0.2481, 0.2481, 0.2442)  3 Bi 3.14, 3 Pb 3.19
Y (0.7519, 0.7519, 0.7558)  3 Bi 3.14, 3 Pb 3.19
Bi (0.5000, 0.5000, 0.0000)  6 Y 3.14
Pb (0.0000, 0.0000, 0.5000)  6 Y 3.19


# 7
# Y4BiPb

Y4BiPb after structural relaxation (PBE-GGA, Alexandria).

The calculation puts the energy of formation at -441 meV per atom.

a b c (Å): 7.9684 7.9684 6.6540
angles (deg): 99.30 99.30 113.99
With the nearest neighbours (Å) after each atom.
Sites, in units of the cell vectors:
Y (0.1022, 0.7108, 0.9446)  2 Pb 3.19-3.20, 2 Bi 3.24-3.57, 3 Y 3.35-3.55
Y (0.2081, 0.3986, 0.5934)  2 Pb 3.23-3.32, 2 Bi 3.24, 3 Y 3.43-3.58
Y (0.2892, 0.8978, 0.5554)  2 Pb 3.19-3.20, 2 Bi 3.24-3.57, 3 Y 3.35-3.55
Y (0.3986, 0.2081, 0.0934)  2 Pb 3.23-3.32, 2 Bi 3.24, 3 Y 3.43-3.58
Y (0.6014, 0.7919, 0.9066)  2 Pb 3.23-3.32, 2 Bi 3.24, 3 Y 3.43-3.58
Y (0.7108, 0.1022, 0.4446)  2 Pb 3.19-3.20, 2 Bi 3.24-3.57, 3 Y 3.35-3.55
Y (0.7919, 0.6014, 0.4066)  2 Pb 3.23-3.32, 2 Bi 3.24, 3 Y 3.43-3.58
Y (0.8978, 0.2892, 0.0554)  2 Pb 3.19-3.20, 2 Bi 3.24-3.57, 3 Y 3.35-3.55
Bi (0.3895, 0.6105, 0.2500)  8 Y 3.24-3.57
Bi (0.6105, 0.3895, 0.7500)  8 Y 3.24-3.57
Pb (0.0066, 0.9934, 0.2500)  8 Y 3.19-3.32, 2 Pb 3.33
Pb (0.9934, 0.0066, 0.7500)  8 Y 3.19-3.32, 2 Pb 3.33


# 8
# Y2BiPb2

Y2BiPb2 after structural relaxation (PBE-GGA, Alexandria).

The calculation puts the energy of formation at -384 meV per atom. The value obtained for the energy above the most stable polymorph in this dataset is 61 meV per atom.

a b c (Å): 8.3101 8.3101 4.3760
angles (deg): 90.00 90.00 90.00
With the nearest neighbours (Å) after each atom.
Sites, in units of the cell vectors:
Y (0.1696, 0.3304, 0.0000)  6 Pb 3.19-3.35
Y (0.3304, 0.8304, 0.0000)  6 Pb 3.19-3.35
Y (0.6696, 0.1696, 0.0000)  6 Pb 3.19-3.35
Y (0.8304, 0.6696, 0.0000)  6 Pb 3.19-3.35
Bi (0.0000, 0.0000, 0.5000)  4 Pb 3.24
Bi (0.5000, 0.5000, 0.5000)  4 Pb 3.24
Pb (0.1329, 0.6329, 0.5000)  1 Pb 3.12, 6 Y 3.19-3.35, 2 Bi 3.24
Pb (0.3671, 0.1329, 0.5000)  1 Pb 3.12, 6 Y 3.19-3.35, 2 Bi 3.24
Pb (0.6329, 0.8671, 0.5000)  1 Pb 3.12, 6 Y 3.19-3.35, 2 Bi 3.24
Pb (0.8671, 0.3671, 0.5000)  1 Pb 3.12, 6 Y 3.19-3.35, 2 Bi 3.24


# 9
# YBi3Pb

YBi3Pb after structural relaxation (PBE-GGA, Alexandria).

The calculation puts the energy of formation at 610 meV per atom. The value obtained for the energy above the most stable polymorph in this dataset is 840 meV per atom.

a b c (Å): 5.8351 5.8351 5.8351
angles (deg): 90.00 90.00 90.00
With the nearest neighbours (Å) after each atom.
Sites, in units of the cell vectors:
Y (0.0000, 0.0000, 0.0000)  12 Bi 4.13
Bi (0.0000, 0.5000, 0.5000)  2 Pb 2.92
Bi (0.5000, 0.0000, 0.5000)  2 Pb 2.92
Bi (0.5000, 0.5000, 0.0000)  2 Pb 2.92
Pb (0.5000, 0.5000, 0.5000)  6 Bi 2.92


# 10
# Y2BiPb

Y2BiPb after structural relaxation (PBE-GGA, Alexandria).

The calculation puts the energy of formation at -519 meV per atom. The value obtained for the energy above the most stable polymorph in this dataset is 184 meV per atom.

a b c (Å): 5.1441 5.1441 4.3548
angles (deg): 90.00 90.00 90.00
With the nearest neighbours (Å) after each atom.
Sites, in units of the cell vectors:
Y (0.0000, 0.5000, 0.0000)  4 Pb 3.37, 4 Bi 3.37, 4 Y 3.64
Y (0.5000, 0.0000, 0.0000)  4 Pb 3.37, 4 Bi 3.37, 4 Y 3.64
Bi (0.0000, 0.0000, 0.5000)  8 Y 3.37, 4 Pb 3.64
Pb (0.5000, 0.5000, 0.5000)  8 Y 3.37, 4 Bi 3.64


# 11
# Y8Bi5Pb

Y8Bi5Pb after structural relaxation (PBE-GGA, Alexandria).

The calculation puts the energy of formation at -736 meV per atom.

a b c (Å): 8.1563 8.1563 8.1563
angles (deg): 109.52 109.52 109.38
With the nearest neighbours (Å) after each atom.
Sites, in units of the cell vectors:
Y (0.1240, 0.2280, 0.7520)  5 Bi 3.16-3.38, 1 Pb 3.35
Y (0.1256, 0.7319, 0.7524)  1 Pb 3.13, 5 Bi 3.15-3.39
Y (0.2681, 0.0205, 0.3937)  1 Pb 3.13, 5 Bi 3.15-3.39
Y (0.4759, 0.3719, 0.2480)  5 Bi 3.16-3.38, 1 Pb 3.35
Y (0.6268, 0.8744, 0.6063)  1 Pb 3.13, 5 Bi 3.15-3.39
Y (0.6281, 0.8760, 0.1040)  5 Bi 3.16-3.38, 1 Pb 3.35
Y (0.7720, 0.5241, 0.8960)  5 Bi 3.16-3.38, 1 Pb 3.35
Y (0.9795, 0.3732, 0.2476)  1 Pb 3.13, 5 Bi 3.15-3.39
Bi (0.2526, 0.6268, 0.1265)  8 Y 3.15-3.38
Bi (0.3732, 0.4997, 0.6259)  8 Y 3.15-3.38
Bi (0.5003, 0.1261, 0.8735)  8 Y 3.15-3.38
Bi (0.7500, 0.2500, 0.5000)  8 Y 3.16-3.39
Bi (0.8739, 0.7474, 0.3741)  8 Y 3.15-3.38
Pb (0.0000, 0.0000, 0.0000)  8 Y 3.13-3.35


# 12
# Y6Bi3Pb

Y6Bi3Pb after structural relaxation (PBE-GGA, Alexandria).

The calculation puts the energy of formation at -527 meV per atom.

a b c (Å): 9.4462 9.4462 7.7134
angles (deg): 90.00 90.00 107.26
With the nearest neighbours (Å) after each atom.
Sites, in units of the cell vectors:
Y (0.0064, 0.9936, 0.5000)  2 Pb 3.15-3.31, 4 Bi 3.15-3.28
Y (0.0796, 0.5314, 0.9932)  3 Bi 3.12-3.20, 1 Pb 3.28
Y (0.2504, 0.7496, 0.3748)  1 Pb 3.14, 3 Bi 3.29-3.48
Y (0.2679, 0.3794, 0.3839)  4 Bi 3.09-3.20
Y (0.3794, 0.2679, 0.8839)  4 Bi 3.09-3.20
Y (0.4686, 0.9204, 0.9932)  3 Bi 3.12-3.20, 1 Pb 3.28
Y (0.5314, 0.0796, 0.4932)  3 Bi 3.12-3.20, 1 Pb 3.28
Y (0.6206, 0.7321, 0.3839)  4 Bi 3.09-3.20
Y (0.7321, 0.6206, 0.8839)  4 Bi 3.09-3.20
Y (0.7496, 0.2504, 0.8748)  1 Pb 3.14, 3 Bi 3.29-3.48
Y (0.9204, 0.4686, 0.4932)  3 Bi 3.12-3.20, 1 Pb 3.28
Y (0.9936, 0.0064, 0.0000)  2 Pb 3.15-3.31, 4 Bi 3.15-3.28
Bi (0.0840, 0.2846, 0.7259)  7 Y 3.09-3.29
Bi (0.2846, 0.0840, 0.2259)  7 Y 3.09-3.29
Bi (0.4200, 0.5800, 0.0719)  7 Y 3.14-3.48
Bi (0.5800, 0.4200, 0.5719)  7 Y 3.14-3.48
Bi (0.7154, 0.9160, 0.7259)  7 Y 3.09-3.29
Bi (0.9160, 0.7154, 0.2259)  7 Y 3.09-3.29
Pb (0.1703, 0.8297, 0.7494)  5 Y 3.14-3.31
Pb (0.8297, 0.1703, 0.2494)  5 Y 3.14-3.31


# 13
# Y2BiPb2

Y2BiPb2 after structural relaxation (PBE-GGA, Alexandria).

The calculation puts the energy of formation at -99 meV per atom. The value obtained for the energy above the most stable polymorph in this dataset is 346 meV per atom.

a b c (Å): 6.3550 6.3550 6.3550
angles (deg): 123.67 123.67 83.76
With the nearest neighbours (Å) after each atom.
Sites, in units of the cell vectors:
Y (0.2500, 0.7500, 0.5000)  4 Pb 3.11
Y (0.7500, 0.2500, 0.5000)  4 Pb 3.11
Bi (0.0000, 0.0000, 0.0000)  2 Pb 3.17
Pb (0.3353, 0.3353, 0.0000)  4 Y 3.11, 1 Pb 3.12, 1 Bi 3.17
Pb (0.6647, 0.6647, 0.0000)  4 Y 3.11, 1 Pb 3.12, 1 Bi 3.17


# 14
# Y3BiPb

Y3BiPb after structural relaxation (PBE-GGA, Alexandria).

The calculation puts the energy of formation at 56 meV per atom. The value obtained for the energy above the most stable polymorph in this dataset is 590 meV per atom.

a b c (Å): 5.7487 5.7487 5.7487
angles (deg): 90.00 90.00 90.00
With the nearest neighbours (Å) after each atom.
Sites, in units of the cell vectors:
Y (0.0000, 0.0000, 0.5000)  2 Bi 2.87
Y (0.0000, 0.5000, 0.0000)  2 Bi 2.87
Y (0.5000, 0.0000, 0.0000)  2 Bi 2.87
Bi (0.0000, 0.0000, 0.0000)  6 Y 2.87
Pb (0.5000, 0.5000, 0.5000)  12 Y 4.06


# 15
# YBiPb3

YBiPb3 after structural relaxation (PBE-GGA, Alexandria).

The calculation puts the energy of formation at 501 meV per atom. The value obtained for the energy above the most stable polymorph in this dataset is 0 meV per atom.

a b c (Å): 5.8711 5.8711 5.8711
angles (deg): 90.00 90.00 90.00
With the nearest neighbours (Å) after each atom.
Sites, in units of the cell vectors:
Y (0.0000, 0.0000, 0.0000)  6 Pb 2.94
Bi (0.5000, 0.5000, 0.5000)  12 Pb 4.15
Pb (0.0000, 0.0000, 0.5000)  2 Y 2.94
Pb (0.0000, 0.5000, 0.0000)  2 Y 2.94
Pb (0.5000, 0.0000, 0.0000)  2 Y 2.94


# 16
# YBi3Pb

YBi3Pb after structural relaxation (PBE-GGA, Alexandria).

The calculation puts the energy of formation at 275 meV per atom. The value obtained for the energy above the most stable polymorph in this dataset is 505 meV per atom.

a b c (Å): 5.8831 5.8831 5.8831
angles (deg): 90.00 90.00 90.00
With the nearest neighbours (Å) after each atom.
Sites, in units of the cell vectors:
Y (0.0000, 0.0000, 0.0000)  6 Bi 2.94
Bi (0.0000, 0.0000, 0.5000)  2 Y 2.94
Bi (0.0000, 0.5000, 0.0000)  2 Y 2.94
Bi (0.5000, 0.0000, 0.0000)  2 Y 2.94
Pb (0.5000, 0.5000, 0.5000)  12 Bi 4.16


# 17
# YZnBiPb2

YZnBiPb2 after structural relaxation (PBE-GGA, Alexandria).

The calculation puts the energy of formation at 557 meV per atom.

a b c (Å): 6.0184 6.0184 5.1274
angles (deg): 90.00 90.00 90.00
With the nearest neighbours (Å) after each atom.
Sites, in units of the cell vectors:
Y (0.0000, 0.0000, 0.0000)  8 Pb 3.95, 4 Zn 4.26
Zn (0.5000, 0.5000, 0.0000)  2 Bi 2.56
Bi (0.5000, 0.5000, 0.5000)  2 Zn 2.56
Pb (0.0000, 0.5000, 0.5000)  2 Bi 3.01
Pb (0.5000, 0.0000, 0.5000)  2 Bi 3.01


# 18
# ZnBiPb

ZnBiPb after structural relaxation (PBE-GGA, Alexandria).

The calculation puts the energy of formation at 92 meV per atom. The value obtained for the energy above the most stable polymorph in this dataset is 12 meV per atom.

a b c (Å): 7.7683 5.6818 7.6776
angles (deg): 90.00 90.00 90.00
With the nearest neighbours (Å) after each atom.
Sites, in units of the cell vectors:
Zn (0.1387, 0.2500, 0.0328)  4 Bi 2.86-3.16, 2 Pb 2.98-3.04
Zn (0.3613, 0.7500, 0.5328)  4 Bi 2.86-3.16, 2 Pb 2.98-3.04
Zn (0.6387, 0.2500, 0.4672)  4 Bi 2.86-3.16, 2 Pb 2.98-3.04
Zn (0.8613, 0.7500, 0.9672)  4 Bi 2.86-3.16, 2 Pb 2.98-3.04
Bi (0.2374, 0.7500, 0.8836)  4 Zn 2.86-3.16
Bi (0.2626, 0.2500, 0.3836)  4 Zn 2.86-3.16
Bi (0.7374, 0.7500, 0.6164)  4 Zn 2.86-3.16
Bi (0.7626, 0.2500, 0.1164)  4 Zn 2.86-3.16
Pb (0.0344, 0.7500, 0.3143)  2 Zn 2.98-3.04, 1 Bi 3.27
Pb (0.4656, 0.2500, 0.8143)  2 Zn 2.98-3.04, 1 Bi 3.27
Pb (0.5344, 0.7500, 0.1857)  2 Zn 2.98-3.04, 1 Bi 3.27
Pb (0.9656, 0.2500, 0.6857)  2 Zn 2.98-3.04, 1 Bi 3.27


# 19
# ZnBi4Pb5

ZnBi4Pb5 after structural relaxation (PBE-GGA, Alexandria).

The calculation puts the energy of formation at 91 meV per atom.

a b c (Å): 10.3622 10.3622 7.1669
angles (deg): 108.86 108.86 27.00
With the nearest neighbours (Å) after each atom.
Sites, in units of the cell vectors:
Zn (0.0000, 0.0000, 0.0000)  6 Bi 2.87-3.00
Bi (0.1396, 0.1396, 0.9780)  1 Zn 2.87, 2 Pb 3.21
Bi (0.4438, 0.4438, 0.7492)  2 Zn 3.00, 2 Pb 3.22-3.24
Bi (0.5562, 0.5562, 0.2508)  2 Zn 3.00, 2 Pb 3.22-3.24
Bi (0.8604, 0.8604, 0.0220)  1 Zn 2.87, 2 Pb 3.21
Pb (0.0000, 0.0000, 0.5000)  6 Bi 3.42-3.64, 2 Zn 3.58
Pb (0.2786, 0.2786, 0.6944)  3 Bi 3.22-3.39, 5 Pb 3.43-3.58
Pb (0.3407, 0.3407, 0.2932)  3 Bi 3.21-3.24, 3 Pb 3.43-3.50
Pb (0.6593, 0.6593, 0.7068)  3 Bi 3.21-3.24, 3 Pb 3.43-3.50
Pb (0.7214, 0.7214, 0.3056)  3 Bi 3.22-3.39, 5 Pb 3.43-3.58


# 20
# Zn2BiPb2

Zn2BiPb2 after structural relaxation (PBE-GGA, Alexandria).

The calculation puts the energy of formation at 218 meV per atom. The value obtained for the energy above the most stable polymorph in this dataset is 128 meV per atom.

a b c (Å): 6.9953 6.9953 6.9953
angles (deg): 141.14 141.14 56.12
With the nearest neighbours (Å) after each atom.
Sites, in units of the cell vectors:
Zn (0.0972, 0.0972, 0.0000)  1 Zn 2.40
Zn (0.9028, 0.9028, 0.0000)  1 Zn 2.40
Bi (0.5000, 0.5000, 0.0000)  8 Zn 3.50, 8 Pb 3.87
Pb (0.2500, 0.7500, 0.5000)  4 Zn 3.00, 4 Pb 3.29
Pb (0.7500, 0.2500, 0.5000)  4 Zn 3.00, 4 Pb 3.29